## w
Entry from the Alexandria database: an optimized crystal structure of KLiW2 (GGA-PBEsol).

Values from the calculation:
Density of states at the Fermi level, states/eV per cell: 5.21
V, Å³ per cell: 157.8
Crystal system: orthorhombic
Total magnetization, μB/cell: 0.00

Cell: 3.190 4.630 10.686 Å, 90.00 90.00 90.00°
Space group Cmm2 (No. 35)
Inequivalent atoms, fractional coordinates:
K1 0.000 0.000 0.000 [2 per cell]
Li1 0.000 0.500 0.311 [2 per cell]
W1 0.000 0.000 0.525 [2 per cell]
W2 0.000 0.500 0.716 [2 per cell]

=====

## x
Entry from the Alexandria database: an optimized crystal structure of KLiW2 (GGA-PBEsol).

Values from the calculation:
Density of states at the Fermi level, states/eV per cell: 3.92
V, Å³ per cell: 79.8
Crystal system: tetragonal
Total magnetization, μB/cell: 1.29

Cell: 5.630 5.630 2.519 Å, 90.00 90.00 90.00°
Space group P4/mmm (No. 123)
Inequivalent atoms, fractional coordinates:
K1 0.000 0.000 0.000 [1 per cell]
Li1 0.500 0.500 0.000 [1 per cell]
W1 0.000 0.500 0.500 [2 per cell]

=====

## y
Entry from the Alexandria database: an optimized crystal structure of KLiW2 (GGA-PBEsol).

Values from the calculation:
Density of states at the Fermi level, states/eV per cell: 3.60
V, Å³ per cell: 87.5
Crystal system: orthorhombic
Total magnetization, μB/cell: 0.00

Cell: 2.618 4.213 7.936 Å, 90.00 90.00 90.00°
Space group Pmm2 (No. 25)
Inequivalent atoms, fractional coordinates:
K1 0.000 0.000 0.000 [1 per cell]
Li1 0.500 0.500 0.337 [1 per cell]
W1 0.000 0.000 0.527 [1 per cell]
W2 0.500 0.500 0.678 [1 per cell]

=====

Order of stability, best first: w, y, x

=====

## w
Entry from the Alexandria database: an optimized crystal structure of KLiW2 (GGA-PBEsol).

Values from the calculation:
Density of states at the Fermi level, states/eV per cell: 3.91
V, Å³ per cell: 92.0
Crystal system: tetragonal
Total magnetization, μB/cell: 0.00

Cell: 3.260 3.260 8.662 Å, 90.00 90.00 90.00°
Space group P4mm (No. 99)
Inequivalent atoms, fractional coordinates:
K1 0.000 0.000 0.000 [1 per cell]
Li1 0.500 0.500 0.345 [1 per cell]
W1 0.000 0.000 0.545 [1 per cell]
W2 0.500 0.500 0.674 [1 per cell]

=====

## x
Entry from the Alexandria database: an optimized crystal structure of KLiW2 (GGA-PBEsol).

Values from the calculation:
Density of states at the Fermi level, states/eV per cell: 6.02
V, Å³ per cell: 144.9
Crystal system: orthorhombic
Total magnetization, μB/cell: 0.00

Cell: 2.943 4.416 11.148 Å, 90.00 90.00 90.00°
Space group Cmmm (No. 65)
Inequivalent atoms, fractional coordinates:
K1 0.000 0.000 0.000 [2 per cell]
Li1 0.000 0.000 0.500 [2 per cell]
W1 0.000 0.500 0.280 [4 per cell]

=====

## y
Entry from the Alexandria database: an optimized crystal structure of KLiW2 (GGA-PBEsol).

Values from the calculation:
Density of states at the Fermi level, states/eV per cell: 4.19
V, Å³ per cell: 73.1
Crystal system: tetragonal
Total magnetization, μB/cell: 0.00

Cell: 2.601 2.601 10.808 Å, 90.00 90.00 90.00°
Space group P4/mmm (No. 123)
Inequivalent atoms, fractional coordinates:
K1 0.000 0.000 0.000 [1 per cell]
Li1 0.000 0.000 0.500 [1 per cell]
W1 0.500 0.500 0.286 [2 per cell]

=====

## z
Entry from the Alexandria database: an optimized crystal structure of KLiW2 (GGA-PBEsol).

Values from the calculation:
Density of states at the Fermi level, states/eV per cell: 3.05
V, Å³ per cell: 87.7
Crystal system: monoclinic
Total magnetization, μB/cell: 0.00

Cell: 2.680 4.132 8.028 Å, 90.00 99.26 90.00°
Space group Pm (No. 6)
Inequivalent atoms, fractional coordinates:
K1 0.000 0.000 0.000 [1 per cell]
Li1 0.648 0.500 0.347 [1 per cell]
W1 0.160 0.000 0.526 [1 per cell]
W2 0.561 0.500 0.679 [1 per cell]

=====

Order of stability, best first: w, z, x, y

=====

## w
Entry from the Alexandria database: an optimized crystal structure of KLi2W (GGA-PBEsol).

Values from the calculation:
Density of states at the Fermi level, states/eV per cell: 6.71
V, Å³ per cell: 163.4
Crystal system: orthorhombic
Total magnetization, μB/cell: 0.00

Cell: 3.193 4.471 11.444 Å, 90.00 90.00 90.00°
Space group Cmmm (No. 65)
Inequivalent atoms, fractional coordinates:
K1 0.000 0.000 0.000 [2 per cell]
Li1 0.000 0.500 0.298 [4 per cell]
W1 0.000 0.000 0.500 [2 per cell]

=====

## x
Entry from the Alexandria database: an optimized crystal structure of KLi2W (GGA-PBEsol).

Values from the calculation:
Density of states at the Fermi level, states/eV per cell: 3.39
V, Å³ per cell: 81.5
Crystal system: tetragonal
Total magnetization, μB/cell: 0.00

Cell: 2.761 2.761 10.692 Å, 90.00 90.00 90.00°
Space group P4/mmm (No. 123)
Inequivalent atoms, fractional coordinates:
K1 0.000 0.000 0.000 [1 per cell]
Li1 0.500 0.500 0.306 [2 per cell]
W1 0.000 0.000 0.500 [1 per cell]

=====

Order of stability, best first: w, x

=====

## w
Entry from the Alexandria database: an optimized crystal structure of KLiZn2 (GGA-PBEsol).

Values from the calculation:
Density of states at the Fermi level, states/eV per cell: 1.80
V, Å³ per cell: 94.0
Crystal system: orthorhombic
Total magnetization, μB/cell: 0.00

Cell: 3.164 3.589 8.277 Å, 90.00 90.00 90.00°
Space group Pmm2 (No. 25)
Inequivalent atoms, fractional coordinates:
K1 0.000 0.000 0.000 [1 per cell]
Li1 0.500 0.500 0.379 [1 per cell]
Zn1 0.000 0.000 0.566 [1 per cell]
Zn2 0.500 0.500 0.699 [1 per cell]

=====

## x
Entry from the Alexandria database: an optimized crystal structure of KLiZn2 (GGA-PBEsol).

Values from the calculation:
Density of states at the Fermi level, states/eV per cell: 4.03
V, Å³ per cell: 186.8
Crystal system: orthorhombic
Total magnetization, μB/cell: 0.00

Cell: 6.774 8.915 3.093 Å, 90.00 90.00 90.00°
Space group Cmmm (No. 65)
Inequivalent atoms, fractional coordinates:
K1 0.000 0.000 0.000 [2 per cell]
Li1 0.000 0.500 0.000 [2 per cell]
Zn1 0.250 0.250 0.500 [4 per cell]

=====

Order of stability, best first: w, x

=====

## w
Entry from the Alexandria database: an optimized crystal structure of K2LiZr (GGA-PBEsol).

Values from the calculation:
Density of states at the Fermi level, states/eV per cell: 31.30
V, Å³ per cell: 643.3
Crystal system: cubic
Total magnetization, μB/cell: 14.27

Cell: 8.633 8.633 8.633 Å, 90.00 90.00 90.00°
Space group Fm-3m (No. 225)
Inequivalent atoms, fractional coordinates:
K1 0.250 0.250 0.250 [8 per cell]
Li1 0.000 0.000 0.000 [4 per cell]
Zr1 0.000 0.000 0.500 [4 per cell]

=====

## x
Entry from the Alexandria database: an optimized crystal structure of K2LiZr (GGA-PBEsol).

Values from the calculation:
Density of states at the Fermi level, states/eV per cell: 12.95
V, Å³ per cell: 391.9
Crystal system: trigonal
Total magnetization, μB/cell: 0.00

Cell: 3.3754 3.3754 39.7166 Å, 90.00 90.00 120.00°
Space group R-3m (No. 166, hexagonal axes)
Inequivalent atoms, fractional coordinates:
K1 0.0000 0.0000 0.2499 [6 per cell]
Li1 0.0000 0.0000 0.0000 [3 per cell]
Zr1 0.0000 0.0000 0.5000 [3 per cell]

=====

## y
Entry from the Alexandria database: an optimized crystal structure of K2LiZr (GGA-PBEsol).

Values from the calculation:
Density of states at the Fermi level, states/eV per cell: 5.03
V, Å³ per cell: 136.6
Crystal system: monoclinic
Total magnetization, μB/cell: 0.03

Cell: 3.456 3.279 12.057 Å, 90.00 90.16 90.00°
Space group Pm (No. 6)
Inequivalent atoms, fractional coordinates:
K1 0.000 0.000 0.000 [1 per cell]
K2 0.493 0.500 0.345 [1 per cell]
Li1 0.498 0.500 0.765 [1 per cell]
Zr1 0.996 0.000 0.607 [1 per cell]

=====

Order of stability, best first: y, x, w

=====

## w
Entry from the Alexandria database: an optimized crystal structure of KLi2Zr (GGA-PBEsol).

Values from the calculation:
Density of states at the Fermi level, states/eV per cell: 7.47
V, Å³ per cell: 223.1
Crystal system: monoclinic
Total magnetization, μB/cell: 0.00

Cell: 10.203 2.869 7.630 Å, 90.00 92.29 90.00°
Space group C2/m (No. 12)
Inequivalent atoms, fractional coordinates:
K1 0.000 0.000 0.000 [2 per cell]
Li1 0.243 0.000 0.675 [4 per cell]
Zr1 0.000 0.500 0.500 [2 per cell]

=====

## x
Entry from the Alexandria database: an optimized crystal structure of KLi2Zr (GGA-PBEsol).

Values from the calculation:
Density of states at the Fermi level, states/eV per cell: 8.14
V, Å³ per cell: 212.6
Crystal system: tetragonal
Total magnetization, μB/cell: 4.43

Cell: 4.343 4.343 11.276 Å, 90.00 90.00 90.00°
Space group I-4m2 (No. 119)
Inequivalent atoms, fractional coordinates:
K1 0.000 0.000 0.000 [2 per cell]
Li1 0.000 0.000 0.500 [2 per cell]
Li2 0.000 0.500 0.250 [2 per cell]
Zr1 0.000 0.500 0.750 [2 per cell]

=====

## y
Entry from the Alexandria database: an optimized crystal structure of KLi2Zr (GGA-PBEsol).

Values from the calculation:
Density of states at the Fermi level, states/eV per cell: 7.99
V, Å³ per cell: 211.0
Crystal system: orthorhombic
Total magnetization, μB/cell: 0.02

Cell: 3.426 5.253 11.719 Å, 90.00 90.00 90.00°
Space group Cmmm (No. 65)
Inequivalent atoms, fractional coordinates:
K1 0.000 0.000 0.000 [2 per cell]
Li1 0.000 0.500 0.283 [4 per cell]
Zr1 0.000 0.000 0.500 [2 per cell]

=====

Order of stability, best first: y, w, x